# K2BrF

Crystalline K2BrF at its relaxed geometry (GGA-PBE, the Alexandria database).

Cell: 4.1769 4.1769 22.0766 Å, 90.00 90.00 120.00°
Space group R3m (No. 160, hexagonal axes)
Inequivalent atoms, fractional coordinates:
K (0.0000, 0.0000, 0.0000) x3
K (0.0000, 0.0000, 0.1973) x3
Br (0.0000, 0.0000, 0.4311) x3
F (0.0000, 0.0000, 0.5996) x3

Uncorrected energy ... -3.5893 eV per atom
Fermi-level density of states ... 0.00 states/eV/cell
ΔE_f (raw) ... -207.9 kJ per mole of atoms
Energy above the lowest structure with this stoichiometry ... 0.058 eV per atom